Record 1
Be2ZnAgRu: optimized geometry, PBE.

Its space group is P4/mmm. The formation energy comes out at 110.6 kJ per mole of atoms.

a = 4.1723 Å, b = 4.1723 Å, c = 4.6198 Å
α = 90.00°, β = 90.00°, γ = 90.00°
Positions (direct):
Be: 0.0000 0.5000 0.0000
Be: 0.5000 0.0000 0.0000
Zn: 0.0000 0.0000 0.5000
Ag: 0.0000 0.0000 0.0000
Ru: 0.5000 0.5000 0.5000

=====

Record 2
ZrBeAg2Ru: optimized geometry, PBE.

Its space group is P4/mmm. The formation energy comes out at 158.4 kJ per mole of atoms.

a = 5.2449 Å, b = 5.2449 Å, c = 4.6489 Å
α = 90.00°, β = 90.00°, γ = 90.00°
Positions (direct):
Zr: 0.0000 0.0000 0.0000
Be: 0.5000 0.5000 0.5000
Ag: 0.0000 0.5000 0.0000
Ag: 0.5000 0.0000 0.0000
Ru: 0.0000 0.0000 0.5000

=====

Record 3
Be3AgS: optimized geometry, PBE.

Its space group is Pm-3m. Its energy relative to the elements, uncorrected is 1025.3 meV per atom.

a = 4.3631 Å, b = 4.3631 Å, c = 4.3631 Å
α = 90.00°, β = 90.00°, γ = 90.00°
Positions (direct):
Be: 0.0000 0.0000 0.5000
Be: 0.0000 0.5000 0.0000
Be: 0.5000 0.0000 0.0000
Ag: 0.0000 0.0000 0.0000
S: 0.5000 0.5000 0.5000

=====

Record 4
Be3AgS: optimized geometry, PBE.

Its space group is Pm-3m. Its energy relative to the elements, uncorrected is 655.9 meV per atom.

a = 4.0835 Å, b = 4.0835 Å, c = 4.0835 Å
α = 90.00°, β = 90.00°, γ = 90.00°
Positions (direct):
Be: 0.0000 0.0000 0.5000
Be: 0.0000 0.5000 0.0000
Be: 0.5000 0.0000 0.0000
Ag: 0.5000 0.5000 0.5000
S: 0.0000 0.0000 0.0000

=====

Record 5
BeAgTeS2: optimized geometry, PBE.

Its space group is P4/mmm. Its energy relative to the elements, uncorrected is 1053.0 meV per atom.

a = 5.1630 Å, b = 5.1630 Å, c = 5.1946 Å
α = 90.00°, β = 90.00°, γ = 90.00°
Positions (direct):
Be: 0.0000 0.0000 0.0000
Ag: 0.5000 0.5000 0.0000
Te: 0.5000 0.5000 0.5000
S: 0.0000 0.5000 0.5000
S: 0.5000 0.0000 0.5000

=====

Record 6
BeAg2Sb: optimized geometry, PBE.

Its space group is Pm. Its energy relative to the elements, uncorrected is 201.1 meV per atom.

a = 3.6267 Å, b = 3.1402 Å, c = 6.7179 Å
α = 90.00°, β = 105.42°, γ = 90.00°
Positions (direct):
Be: 0.0000 0.0000 0.0000
Ag: 0.1895 0.0000 0.3782
Ag: 0.5544 0.5000 0.1081
Sb: 0.8385 0.5000 0.6844

=====

no.,total energy (eV/atom),total moment (Bohr magnetons per cell)
1,-3.025,0.8
2,-3.809,0.0
3,-2.606,0.0
4,-2.976,0.0
5,-2.542,0.0
6,-3.187,0.0